Entry 1:
An optimized crystal structure of Sc2Cu2O5, computed with GGA-PBEsol.

Calculated values
E_tot: -271.3 eV per cell
Raw formation energy: -2.189 eV per atom

a = 10.4106 Å, b = 3.2047 Å, c = 11.9651 Å
α = 90.00°, β = 90.00°, γ = 90.00°
With the nearest neighbours (Å) after each atom.
Space group Pna2_1 (No. 33)
Inequivalent atoms, fractional coordinates:
Sc (0.0400, 0.2150, 0.0000) x4  6 O 2.07-2.18
Sc (0.2102, 0.2157, 0.3302) x4  6 O 2.06-2.18
Cu (0.0094, 0.3462, 0.7208) x4  4 O 1.92-1.96
Cu (0.2397, 0.1481, 0.6101) x4  4 O 1.92-1.97
O (0.0681, 0.2856, 0.5656) x4  2 Cu 1.92-1.96, 2 Sc 2.11
O (0.0805, 0.7244, 0.3635) x4  1 Cu 1.96, 3 Sc 2.07-2.15
O (0.1248, 0.2894, 0.1653) x4  2 Cu 1.94
O (0.1698, 0.7137, 0.9675) x4  1 Cu 1.96, 3 Sc 2.06-2.13
O (0.1810, 0.2101, 0.7657) x4  2 Cu 1.92-1.97, 2 Sc 2.09-2.12

=====

Entry 2:
An optimized crystal structure of UP3, computed with GGA-PBEsol.

Calculated values
ΔH_f (0 K): -0.6737 eV/atom
E_tot: -64.5 eV per cell

a = 5.3459 Å, b = 5.3459 Å, c = 5.1309 Å
α = 90.00°, β = 90.00°, γ = 120.00°
With the nearest neighbours (Å) after each atom.
Space group P6_3/mmc (No. 194)
Inequivalent atoms, fractional coordinates:
U (0.3333, 0.6667, 0.2500) x2  12 P 2.68-2.93
P (0.1797, 0.3593, 0.7500) x6  2 P 2.46, 2 U 2.68

=====

Entry 3:
An optimized crystal structure of LaTa2AuS, computed with GGA-PBEsol.

Calculated values
E_tot: -38.4 eV per cell
Raw formation energy: 0.071 eV per atom

a = 4.5331 Å, b = 4.5331 Å, c = 5.3398 Å
α = 90.00°, β = 90.00°, γ = 90.00°
With the nearest neighbours (Å) after each atom.
Space group P4/mmm (No. 123)
Inequivalent atoms, fractional coordinates:
La (0.0000, 0.0000, 0.0000) x1  2 S 2.67
Ta (0.0000, 0.5000, 0.5000) x2  2 S 2.27
Au (0.5000, 0.5000, 0.0000) x1  4 La 3.21, 8 Ta 3.50
S (0.0000, 0.0000, 0.5000) x1  4 Ta 2.27

=====

Number 1: calculated volume 399.2 Å³/cell. Number 2: calculated volume 127.0 Å³/cell. Number 3: calculated volume 109.7 Å³/cell.